(1)
A plane-wave DFT calculation with PBE was carried out for a relaxed structure of AcCeGa2Ir2.

Geometry as CIF:
```
data_AcCeGa2Ir2
_symmetry_space_group_name_H-M 'P -3 m 1'
_symmetry_Int_Tables_number 164
_symmetry_space_group_name_Hall '-P 3 2"'
_cell_length_a 4.4474
_cell_length_b 4.4474
_cell_length_c 7.7975
_cell_angle_alpha 90.00
_cell_angle_beta 90.00
_cell_angle_gamma 120.00
loop_
_atom_site_label
_atom_site_type_symbol
_atom_site_fract_x
_atom_site_fract_y
_atom_site_fract_z
Ac1 Ac 0.0000 0.0000 0.0000
Ce1 Ce 0.0000 0.0000 0.5000
Ga1 Ga 0.3333 0.6667 0.2782
Ir1 Ir 0.3333 0.6667 0.7129
```

Computed properties:
density	11.1	Mg/m³
DFT formation energy	-740	meV/atom

***

(2)
A plane-wave DFT calculation with PBE was carried out for a relaxed structure of AcCeGaIr.

Geometry as CIF:
```
data_AcCeGaIr
_symmetry_space_group_name_H-M 'F -4 3 m'
_symmetry_Int_Tables_number 216
_symmetry_space_group_name_Hall 'F -4 2 3'
_cell_length_a 7.383
_cell_length_b 7.383
_cell_length_c 7.383
_cell_angle_alpha 90.00
_cell_angle_beta 90.00
_cell_angle_gamma 90.00
loop_
_atom_site_label
_atom_site_type_symbol
_atom_site_fract_x
_atom_site_fract_y
_atom_site_fract_z
Ac1 Ac 0.000 0.000 0.000
Ce1 Ce 0.000 0.000 0.500
Ga1 Ga 0.250 0.250 0.750
Ir1 Ir 0.250 0.250 0.250
```

Computed properties:
density	10.4	Mg/m³
DFT formation energy	-409	meV/atom

***

(3)
A plane-wave DFT calculation with PBE was carried out for a relaxed structure of AcCeLuGa.

Geometry as CIF:
```
data_AcCeLuGa
_symmetry_space_group_name_H-M 'F -4 3 m'
_symmetry_Int_Tables_number 216
_symmetry_space_group_name_Hall 'F -4 2 3'
_cell_length_a 7.702
_cell_length_b 7.702
_cell_length_c 7.702
_cell_angle_alpha 90.00
_cell_angle_beta 90.00
_cell_angle_gamma 90.00
loop_
_atom_site_label
_atom_site_type_symbol
_atom_site_fract_x
_atom_site_fract_y
_atom_site_fract_z
Ac1 Ac 0.000 0.000 0.000
Ce1 Ce 0.250 0.250 0.750
Lu1 Lu 0.250 0.250 0.250
Ga1 Ga 0.000 0.000 0.500
```

Computed properties:
density	8.9	Mg/m³
DFT formation energy	79	meV/atom

***

(4)
A plane-wave DFT calculation with PBE was carried out for a relaxed structure of AcCeNdGa.

Geometry as CIF:
```
data_AcCeNdGa
_symmetry_space_group_name_H-M 'F -4 3 m'
_symmetry_Int_Tables_number 216
_symmetry_space_group_name_Hall 'F -4 2 3'
_cell_length_a 7.837
_cell_length_b 7.837
_cell_length_c 7.837
_cell_angle_alpha 90.00
_cell_angle_beta 90.00
_cell_angle_gamma 90.00
loop_
_atom_site_label
_atom_site_type_symbol
_atom_site_fract_x
_atom_site_fract_y
_atom_site_fract_z
Ac1 Ac 0.000 0.000 0.000
Ce1 Ce 0.250 0.250 0.750
Nd1 Nd 0.250 0.250 0.250
Ga1 Ga 0.000 0.000 0.500
```

Computed properties:
density	8.0	Mg/m³
DFT formation energy	41	meV/atom

***

(5)
A plane-wave DFT calculation with PBE was carried out for a relaxed structure of AcCePaGa.

Geometry as CIF:
```
data_AcCePaGa
_symmetry_space_group_name_H-M 'F -4 3 m'
_symmetry_Int_Tables_number 216
_symmetry_space_group_name_Hall 'F -4 2 3'
_cell_length_a 7.660
_cell_length_b 7.660
_cell_length_c 7.660
_cell_angle_alpha 90.00
_cell_angle_beta 90.00
_cell_angle_gamma 90.00
loop_
_atom_site_label
_atom_site_type_symbol
_atom_site_fract_x
_atom_site_fract_y
_atom_site_fract_z
Ac1 Ac 0.000 0.000 0.000
Ce1 Ce 0.000 0.000 0.500
Pa1 Pa 0.250 0.250 0.250
Ga1 Ga 0.250 0.250 0.750
```

Computed properties:
density	9.9	Mg/m³
DFT formation energy	251	meV/atom

***

(6)
A plane-wave DFT calculation with PBE was carried out for a relaxed structure of AcCeGaPb.

Geometry as CIF:
```
data_AcCeGaPb
_symmetry_space_group_name_H-M 'F -4 3 m'
_symmetry_Int_Tables_number 216
_symmetry_space_group_name_Hall 'F -4 2 3'
_cell_length_a 7.888
_cell_length_b 7.888
_cell_length_c 7.888
_cell_angle_alpha 90.00
_cell_angle_beta 90.00
_cell_angle_gamma 90.00
loop_
_atom_site_label
_atom_site_type_symbol
_atom_site_fract_x
_atom_site_fract_y
_atom_site_fract_z
Ac1 Ac 0.000 0.000 0.000
Ce1 Ce 0.000 0.000 0.500
Ga1 Ga 0.250 0.250 0.750
Pb1 Pb 0.250 0.250 0.250
```

Computed properties:
density	8.7	Mg/m³
DFT formation energy	-352	meV/atom

***

(7)
A plane-wave DFT calculation with PBE was carried out for a relaxed structure of AcCeGa2Pd5.

Geometry as CIF:
```
data_AcCeGa2Pd5
_symmetry_space_group_name_H-M 'P 4/m m m'
_symmetry_Int_Tables_number 123
_symmetry_space_group_name_Hall '-P 4 2'
_cell_length_a 4.414
_cell_length_b 4.414
_cell_length_c 9.168
_cell_angle_alpha 90.00
_cell_angle_beta 90.00
_cell_angle_gamma 90.00
loop_
_atom_site_label
_atom_site_type_symbol
_atom_site_fract_x
_atom_site_fract_y
_atom_site_fract_z
Ac1 Ac 0.000 0.000 0.000
Ce1 Ce 0.000 0.000 0.500
Ga1 Ga 0.500 0.500 0.361
Pd1 Pd 0.000 0.500 0.233
Pd2 Pd 0.500 0.500 0.000
```

Computed properties:
density	9.7	Mg/m³
DFT formation energy	-732	meV/atom

***

(8)
A plane-wave DFT calculation with PBE was carried out for a relaxed structure of Ac2CeGa3Pd4.

Geometry as CIF:
```
data_Ac2CeGa3Pd4
_symmetry_space_group_name_H-M 'P -4 m 2'
_symmetry_Int_Tables_number 115
_cell_length_a 4.528
_cell_length_b 4.528
_cell_length_c 10.958
_cell_angle_alpha 90.00
_cell_angle_beta 90.00
_cell_angle_gamma 90.00
loop_
_symmetry_equiv_pos_as_xyz
'x,y,z'
'y,-x,-z'
'-x,-y,z'
'-y,x,-z'
'-x,y,z'
'-y,-x,-z'
'x,-y,z'
'y,x,-z'
loop_
_atom_site_label
_atom_site_type_symbol
_atom_site_fract_x
_atom_site_fract_y
_atom_site_fract_z
Ac1 Ac 0.000 0.500 0.228
Ce1 Ce 0.000 0.000 0.500
Ga1 Ga 0.000 0.500 0.887
Ga2 Ga 0.500 0.500 0.500
Pd1 Pd 0.000 0.000 0.000
Pd2 Pd 0.000 0.500 0.654
Pd3 Pd 0.500 0.500 0.000
```

Computed properties:
density	9.1	Mg/m³
DFT formation energy	-769	meV/atom

***

(9)
A plane-wave DFT calculation with PBE was carried out for a relaxed structure of Ac2CeGa4Pd3.

Geometry as CIF:
```
data_Ac2CeGa4Pd3
_symmetry_space_group_name_H-M 'P -4 m 2'
_symmetry_Int_Tables_number 115
_cell_length_a 4.429
_cell_length_b 4.429
_cell_length_c 11.674
_cell_angle_alpha 90.00
_cell_angle_beta 90.00
_cell_angle_gamma 90.00
loop_
_symmetry_equiv_pos_as_xyz
'x,y,z'
'y,-x,-z'
'-x,-y,z'
'-y,x,-z'
'-x,y,z'
'-y,-x,-z'
'x,-y,z'
'y,x,-z'
loop_
_atom_site_label
_atom_site_type_symbol
_atom_site_fract_x
_atom_site_fract_y
_atom_site_fract_z
Ac1 Ac 0.000 0.500 0.229
Ce1 Ce 0.000 0.000 0.500
Ga1 Ga 0.000 0.000 0.000
Ga2 Ga 0.000 0.500 0.667
Ga3 Ga 0.500 0.500 0.000
Pd1 Pd 0.000 0.500 0.885
Pd2 Pd 0.500 0.500 0.500
```

Computed properties:
density	8.6	Mg/m³
DFT formation energy	-664	meV/atom

***

(10)
A plane-wave DFT calculation with PBE was carried out for a relaxed structure of Ac2CeGa2Pd7.

Geometry as CIF:
```
data_Ac2CeGa2Pd7
_symmetry_space_group_name_H-M 'C 1 2/m 1'
_symmetry_Int_Tables_number 12
_cell_length_a 6.028
_cell_length_b 5.960
_cell_length_c 14.232
_cell_angle_alpha 90.00
_cell_angle_beta 97.48
_cell_angle_gamma 90.00
loop_
_symmetry_equiv_pos_as_xyz
'x,y,z'
'-x,-y,-z'
'-x,y,-z'
'x,-y,z'
'x+1/2,y+1/2,z'
'-x+1/2,-y+1/2,-z'
'-x+1/2,y+1/2,-z'
'x+1/2,-y+1/2,z'
loop_
_atom_site_label
_atom_site_type_symbol
_atom_site_fract_x
_atom_site_fract_y
_atom_site_fract_z
Ac1 Ac 0.101 0.000 0.356
Ce1 Ce 0.000 0.000 0.000
Ga1 Ga 0.074 0.500 0.244
Pd1 Pd 0.000 0.500 0.000
Pd2 Pd 0.116 0.500 0.424
Pd3 Pd 0.206 0.250 0.854
```

Computed properties:
density	9.7	Mg/m³
DFT formation energy	-787	meV/atom

***

(11)
A plane-wave DFT calculation with PBE was carried out for a relaxed structure of AcCePrGa.

Geometry as CIF:
```
data_AcCePrGa
_symmetry_space_group_name_H-M 'F -4 3 m'
_symmetry_Int_Tables_number 216
_symmetry_space_group_name_Hall 'F -4 2 3'
_cell_length_a 7.863
_cell_length_b 7.863
_cell_length_c 7.863
_cell_angle_alpha 90.00
_cell_angle_beta 90.00
_cell_angle_gamma 90.00
loop_
_atom_site_label
_atom_site_type_symbol
_atom_site_fract_x
_atom_site_fract_y
_atom_site_fract_z
Ac1 Ac 0.000 0.000 0.000
Ce1 Ce 0.250 0.250 0.750
Pr1 Pr 0.250 0.250 0.250
Ga1 Ga 0.000 0.000 0.500
```

Computed properties:
density	7.9	Mg/m³
DFT formation energy	41	meV/atom

***

(12)
A plane-wave DFT calculation with PBE was carried out for a relaxed structure of AcCeGa2Pt2.

Geometry as CIF:
```
data_AcCeGa2Pt2
_symmetry_space_group_name_H-M 'P -3 m 1'
_symmetry_Int_Tables_number 164
_symmetry_space_group_name_Hall '-P 3 2"'
_cell_length_a 4.5624
_cell_length_b 4.5624
_cell_length_c 7.5370
_cell_angle_alpha 90.00
_cell_angle_beta 90.00
_cell_angle_gamma 120.00
loop_
_atom_site_label
_atom_site_type_symbol
_atom_site_fract_x
_atom_site_fract_y
_atom_site_fract_z
Ac1 Ac 0.0000 0.0000 0.0000
Ce1 Ce 0.0000 0.0000 0.5000
Ga1 Ga 0.3333 0.6667 0.7158
Pt1 Pt 0.3333 0.6667 0.2816
```

Computed properties:
density	11.0	Mg/m³
DFT formation energy	-985	meV/atom

***

(13)
A plane-wave DFT calculation with PBE was carried out for a relaxed structure of Ac2CeGa2Pt7.

Geometry as CIF:
```
data_Ac2CeGa2Pt7
_symmetry_space_group_name_H-M 'C 1 2/m 1'
_symmetry_Int_Tables_number 12
_cell_length_a 5.974
_cell_length_b 5.927
_cell_length_c 14.411
_cell_angle_alpha 90.00
_cell_angle_beta 96.75
_cell_angle_gamma 90.00
loop_
_symmetry_equiv_pos_as_xyz
'x,y,z'
'-x,-y,-z'
'-x,y,-z'
'x,-y,z'
'x+1/2,y+1/2,z'
'-x+1/2,-y+1/2,-z'
'-x+1/2,y+1/2,-z'
'x+1/2,-y+1/2,z'
loop_
_atom_site_label
_atom_site_type_symbol
_atom_site_fract_x
_atom_site_fract_y
_atom_site_fract_z
Ac1 Ac 0.092 0.000 0.357
Ce1 Ce 0.000 0.000 0.000
Ga1 Ga 0.070 0.500 0.245
Pt1 Pt 0.000 0.500 0.000
Pt2 Pt 0.097 0.500 0.421
Pt3 Pt 0.208 0.250 0.854
```

Computed properties:
density	13.8	Mg/m³
DFT formation energy	-987	meV/atom

***

(14)
A plane-wave DFT calculation with PBE was carried out for a relaxed structure of Ac2CeGa3Rh4.

Geometry as CIF:
```
data_Ac2CeGa3Rh4
_symmetry_space_group_name_H-M 'P -4 m 2'
_symmetry_Int_Tables_number 115
_cell_length_a 4.436
_cell_length_b 4.436
_cell_length_c 10.868
_cell_angle_alpha 90.00
_cell_angle_beta 90.00
_cell_angle_gamma 90.00
loop_
_symmetry_equiv_pos_as_xyz
'x,y,z'
'y,-x,-z'
'-x,-y,z'
'-y,x,-z'
'-x,y,z'
'-y,-x,-z'
'x,-y,z'
'y,x,-z'
loop_
_atom_site_label
_atom_site_type_symbol
_atom_site_fract_x
_atom_site_fract_y
_atom_site_fract_z
Ac1 Ac 0.000 0.500 0.223
Ce1 Ce 0.000 0.000 0.500
Ga1 Ga 0.000 0.500 0.886
Ga2 Ga 0.500 0.500 0.500
Rh1 Rh 0.000 0.000 0.000
Rh2 Rh 0.000 0.500 0.645
Rh3 Rh 0.500 0.500 0.000
```

Computed properties:
density	9.4	Mg/m³
DFT formation energy	-785	meV/atom

***

(15)
A plane-wave DFT calculation with PBE was carried out for a relaxed structure of AcCeGaSi.

Geometry as CIF:
```
data_AcCeGaSi
_symmetry_space_group_name_H-M 'F -4 3 m'
_symmetry_Int_Tables_number 216
_symmetry_space_group_name_Hall 'F -4 2 3'
_cell_length_a 7.514
_cell_length_b 7.514
_cell_length_c 7.514
_cell_angle_alpha 90.00
_cell_angle_beta 90.00
_cell_angle_gamma 90.00
loop_
_atom_site_label
_atom_site_type_symbol
_atom_site_fract_x
_atom_site_fract_y
_atom_site_fract_z
Ac1 Ac 0.000 0.000 0.000
Ce1 Ce 0.000 0.000 0.500
Ga1 Ga 0.250 0.250 0.750
Si1 Si 0.250 0.250 0.250
```

Computed properties:
density	7.3	Mg/m³
raw formation energy	-0.357	eV/atom

***

(16)
A plane-wave DFT calculation with PBE was carried out for a relaxed structure of AcCeSmGa.

Geometry as CIF:
```
data_AcCeSmGa
_symmetry_space_group_name_H-M 'F -4 3 m'
_symmetry_Int_Tables_number 216
_symmetry_space_group_name_Hall 'F -4 2 3'
_cell_length_a 7.801
_cell_length_b 7.801
_cell_length_c 7.801
_cell_angle_alpha 90.00
_cell_angle_beta 90.00
_cell_angle_gamma 90.00
loop_
_atom_site_label
_atom_site_type_symbol
_atom_site_fract_x
_atom_site_fract_y
_atom_site_fract_z
Ac1 Ac 0.000 0.000 0.000
Ce1 Ce 0.250 0.250 0.250
Sm1 Sm 0.250 0.250 0.750
Ga1 Ga 0.000 0.000 0.500
```

Computed properties:
density	8.2	Mg/m³
DFT formation energy	44	meV/atom

***

(17)
A plane-wave DFT calculation with PBE was carried out for a relaxed structure of AcCeGaSn.

Geometry as CIF:
```
data_AcCeGaSn
_symmetry_space_group_name_H-M 'F -4 3 m'
_symmetry_Int_Tables_number 216
_symmetry_space_group_name_Hall 'F -4 2 3'
_cell_length_a 7.811
_cell_length_b 7.811
_cell_length_c 7.811
_cell_angle_alpha 90.00
_cell_angle_beta 90.00
_cell_angle_gamma 90.00
loop_
_atom_site_label
_atom_site_type_symbol
_atom_site_fract_x
_atom_site_fract_y
_atom_site_fract_z
Ac1 Ac 0.000 0.000 0.000
Ce1 Ce 0.000 0.000 0.500
Ga1 Ga 0.250 0.250 0.750
Sn1 Sn 0.250 0.250 0.250
```

Computed properties:
density	7.7	Mg/m³
DFT formation energy	-449	meV/atom

***

(18)
A plane-wave DFT calculation with PBE was carried out for a relaxed structure of AcCe2Ga2Sn2.

Geometry as CIF:
```
data_AcCe2Ga2Sn2
_symmetry_space_group_name_H-M 'R -3 m'
_symmetry_Int_Tables_number 166
_symmetry_space_group_name_Hall '-R 3 2"'
_cell_length_a 4.7436
_cell_length_b 4.7436
_cell_length_c 29.8608
_cell_angle_alpha 90.00
_cell_angle_beta 90.00
_cell_angle_gamma 120.00
loop_
_atom_site_label
_atom_site_type_symbol
_atom_site_fract_x
_atom_site_fract_y
_atom_site_fract_z
Ac1 Ac 0.0000 0.0000 0.0000
Ce1 Ce 0.0000 0.0000 0.1374
Ga1 Ga 0.0000 0.0000 0.4253
Sn1 Sn 0.0000 0.0000 0.2632
```

Computed properties:
density	7.6	Mg/m³
DFT formation energy	-359	meV/atom

***

(19)
A plane-wave DFT calculation with PBE was carried out for a relaxed structure of AcCeYGa.

Geometry as CIF:
```
data_AcCeYGa
_symmetry_space_group_name_H-M 'F -4 3 m'
_symmetry_Int_Tables_number 216
_symmetry_space_group_name_Hall 'F -4 2 3'
_cell_length_a 7.766
_cell_length_b 7.766
_cell_length_c 7.766
_cell_angle_alpha 90.00
_cell_angle_beta 90.00
_cell_angle_gamma 90.00
loop_
_atom_site_label
_atom_site_type_symbol
_atom_site_fract_x
_atom_site_fract_y
_atom_site_fract_z
Ac1 Ac 0.000 0.000 0.000
Ce1 Ce 0.250 0.250 0.250
Y1 Y 0.250 0.250 0.750
Ga1 Ga 0.000 0.000 0.500
```

Computed properties:
density	7.5	Mg/m³
DFT formation energy	49	meV/atom

***

(20)
A plane-wave DFT calculation with PBE was carried out for a relaxed structure of AcCe2Zn2Ga2.

Geometry as CIF:
```
data_AcCe2Zn2Ga2
_symmetry_space_group_name_H-M 'R -3 m'
_symmetry_Int_Tables_number 166
_symmetry_space_group_name_Hall '-R 3 2"'
_cell_length_a 4.3936
_cell_length_b 4.3936
_cell_length_c 29.2297
_cell_angle_alpha 90.00
_cell_angle_beta 90.00
_cell_angle_gamma 120.00
loop_
_atom_site_label
_atom_site_type_symbol
_atom_site_fract_x
_atom_site_fract_y
_atom_site_fract_z
Ac1 Ac 0.0000 0.0000 0.0000
Ce1 Ce 0.0000 0.0000 0.1439
Zn1 Zn 0.0000 0.0000 0.4124
Ga1 Ga 0.0000 0.0000 0.2554
```

Computed properties:
density	7.9	Mg/m³
DFT formation energy	-413	meV/atom

***

no.,total moment (μB per formula unit),V (Å³/cell),total DFT energy (no corrections) (eV/atom)
1,0.0,134,-6.38
2,0.5,402,-5.89
3,0.9,457,-4.32
4,0.9,481,-4.42
5,2.4,449,-5.39
6,1.2,491,-4.55
7,0.8,179,-5.41
8,0.5,225,-5.17
9,0.6,229,-4.85
10,0.5,507,-5.50
11,1.0,486,-4.42
12,0.5,136,-5.68
13,0.2,507,-6.19
14,0.0,214,-6.05
15,1.1,424,-4.98
16,0.9,475,-4.40
17,1.2,477,-4.72
18,2.6,582,-4.65
19,0.9,468,-4.83
20,1.3,489,-3.92